This record from Alexandria describes a relaxed K2AcClO2 crystal. The functional is PBE.

```
K2AcClO2
1.0
4.832 0.000 0.000
0.000 4.832 0.000
0.000 0.000 6.602
K Ac Cl O
2 1 1 2
direct
0.000 0.000 0.239
0.000 0.000 0.761
0.500 0.500 0.000
0.500 0.500 0.500
0.000 0.500 0.000
0.500 0.000 0.000
```

- SG: P4/mmm
- Crystal system: tetragonal
- Magnetic moment: 0.0000 μB per atom
- Raw formation energy: -2.17 eV per atom

---

This record from Alexandria describes a relaxed TaReW2 crystal. The functional is PBE.

```
TaReW2
1.0
1.597 -2.265 0.000
1.597 2.265 0.000
0.000 0.000 9.031
Ta Re W
1 1 2
direct
0.000 0.000 0.000
0.000 0.000 0.500
0.500 0.500 0.257
0.500 0.500 0.743
```

- ΔH_f (0 K): -0.008 eV per atom
- SG: Cmmm
- Crystal system: orthorhombic
- Excess energy over the best structure of this formula in the dataset: 143 meV/atom
- Magnetic moment: 0.0000 μB per atom

---

This record from Alexandria describes a relaxed Pr2Y3HoAs6 crystal. The functional is PBE.

```
Pr2Y3HoAs6
1.0
9.114 -2.093 0.000
9.114 2.093 0.000
-1.916 0.000 8.142
Pr Y Ho As
2 3 1 6
direct
0.166 0.166 0.332
0.834 0.834 0.668
0.167 0.167 0.834
0.500 0.500 0.500
0.833 0.833 0.166
0.500 0.500 0.000
0.003 0.003 0.753
0.334 0.334 0.925
0.336 0.336 0.411
0.664 0.664 0.589
0.666 0.666 0.075
0.997 0.997 0.247
```

- ΔH_f (0 K): -1.522 eV per atom
- SG: C2/m
- Crystal system: monoclinic
- Magnetic moment: 0.0000 μB per atom

---

This record from Alexandria describes a relaxed CeZrNiN3 crystal. The functional is PBE.

```
CeZrNiN3
1.0
6.928 0.000 0.000
0.000 3.287 0.000
-1.443 0.000 7.003
Ce Zr Ni N
2 2 2 6
direct
0.173 0.250 0.210
0.827 0.750 0.790
0.344 0.750 0.840
0.656 0.250 0.160
0.112 0.250 0.591
0.888 0.750 0.409
0.122 0.250 0.872
0.184 0.750 0.482
0.426 0.750 0.151
0.574 0.250 0.849
0.816 0.250 0.518
0.878 0.750 0.128
```

- SG: P2_1/m
- Crystal system: monoclinic
- Magnetic moment: 0.0000 μB per atom
- Raw formation energy: -1.05 eV per atom